No. 1
Below is a geometry-optimized NiBiIrSe2 structure, with properties calculated at the PBE level.

The structure in POSCAR format:
```
NiBiIrSe2
1.0
4.5540 0.0000 0.0000
0.0000 4.5540 0.0000
0.0000 0.0000 5.0880
Ni Bi Ir Se
1 1 1 2
Direct
0.0000 0.0000 0.0000
0.0000 0.0000 0.5000
0.5000 0.5000 0.5000
0.0000 0.5000 0.0000
0.5000 0.0000 0.0000
```

Properties
E: -4.298 eV/atom
total magnetic moment: 0.00 μB/f.u.
formation energy (no corrections): 0.800 eV per atom


No. 2
Below is a geometry-optimized Tl2NiBiIr structure, with properties calculated at the PBE level.

The structure in POSCAR format:
```
Tl2NiBiIr
1.0
5.9993 0.0000 0.0000
0.0000 5.9993 0.0000
0.0000 0.0000 4.7693
Tl Ni Bi Ir
2 1 1 1
Direct
0.0000 0.5000 0.0000
0.5000 0.0000 0.0000
0.0000 0.0000 0.5000
0.0000 0.0000 0.0000
0.5000 0.5000 0.5000
```

Properties
E: -3.162 eV/atom
total magnetic moment: 1.93 μB/f.u.
ΔH_f (0 K): 1.489 eV/atom


No. 3
Below is a geometry-optimized Np2BiIr structure, with properties calculated at the PBE level.

The structure in POSCAR format:
```
Np2BiIr
1.0
3.8587 0.0000 0.0000
0.0000 3.8587 0.0000
0.0000 0.0000 6.1888
Np Bi Ir
2 1 1
Direct
0.0000 0.0000 0.2151
0.0000 0.0000 0.7849
0.5000 0.5000 0.5000
0.5000 0.5000 0.0000
```

Properties
E: -9.699 eV/atom
energy above the lowest structure with this stoichiometry: 0 meV per atom
total magnetic moment: 7.83 μB/f.u.
ΔH_f (0 K): -0.043 eV/atom


No. 4
Below is a geometry-optimized NpBi2Ir structure, with properties calculated at the PBE level.

The structure in POSCAR format:
```
NpBi2Ir
1.0
1.7161 0.9908 10.4711
-1.7161 0.9908 10.4711
0.0000 -1.9816 10.4711
Np Bi Ir
1 2 1
Direct
0.0000 0.0000 0.0000
0.1035 0.1035 0.1035
0.8965 0.8965 0.8965
0.5000 0.5000 0.5000
```

Properties
E: -6.870 eV/atom
total magnetic moment: 4.54 μB/f.u.
ΔH_f (0 K): 0.521 eV/atom


No. 5
Below is a geometry-optimized Np2BiIr structure, with properties calculated at the PBE level.

The structure in POSCAR format:
```
Np2BiIr
1.0
2.0761 1.1986 7.1468
-2.0761 1.1986 7.1468
0.0000 -2.3973 7.1468
Np Bi Ir
2 1 1
Direct
0.2338 0.2338 0.2338
0.7662 0.7662 0.7662
0.0000 0.0000 0.0000
0.5000 0.5000 0.5000
```

Properties
E: -9.695 eV/atom
energy above the lowest structure with this stoichiometry: 4 meV per atom
total magnetic moment: 7.54 μB/f.u.
ΔH_f (0 K): -0.039 eV/atom


No. 6
Below is a geometry-optimized NpBiIr structure, with properties calculated at the PBE level.

The structure in POSCAR format:
```
NpBiIr
1.0
1.7815 -9.1964 0.0000
1.7815 9.1964 0.0000
0.0000 0.0000 4.5280
Np Bi Ir
2 2 2
Direct
0.0685 0.9315 0.7500
0.9315 0.0685 0.2500
0.1976 0.8024 0.2500
0.8024 0.1976 0.7500
0.4372 0.5628 0.7500
0.5628 0.4372 0.2500
```

Properties
E: -8.583 eV/atom
total magnetic moment: 3.46 μB/f.u.
ΔH_f (0 K): -0.022 eV/atom


No. 7
Below is a geometry-optimized BiIrO4 structure, with properties calculated at the PBE level.

The structure in POSCAR format:
```
BiIrO4
1.0
7.6337 0.0000 0.0000
0.0000 5.5179 0.0000
-1.2335 0.0000 7.4198
Bi Ir O
4 4 16
Direct
0.1658 0.2227 0.3865
0.1658 0.2773 0.8865
0.8342 0.7227 0.1135
0.8342 0.7773 0.6135
0.3386 0.7317 0.2011
0.3386 0.7683 0.7011
0.6614 0.2317 0.2989
0.6614 0.2683 0.7989
0.1151 0.5370 0.1807
0.1151 0.9630 0.6807
0.1890 0.0109 0.1260
0.1890 0.4891 0.6260
0.3375 0.6330 0.9476
0.3375 0.8670 0.4476
0.4373 0.0894 0.8017
0.4373 0.4106 0.3017
0.5627 0.5894 0.6983
0.5627 0.9106 0.1983
0.6625 0.1330 0.5524
0.6625 0.3670 0.0524
0.8110 0.5109 0.3740
0.8110 0.9891 0.8740
0.8849 0.0370 0.3193
0.8849 0.4630 0.8193
```

Properties
E: -6.359 eV/atom
total magnetic moment: 0.00 μB/f.u.
formation energy (no corrections): -0.930 eV per atom


No. 8
Below is a geometry-optimized BiIr2O6 structure, with properties calculated at the PBE level.

The structure in POSCAR format:
```
BiIr2O6
1.0
5.3383 0.0000 0.0000
-2.6692 4.6231 0.0000
0.0000 0.0000 4.8301
Bi Ir O
1 2 6
Direct
0.0000 0.0000 0.0000
0.3333 0.6667 0.5000
0.6667 0.3333 0.5000
0.0000 0.3676 0.7203
0.0000 0.6324 0.2797
0.3676 0.0000 0.7203
0.3676 0.3676 0.2797
0.6324 0.0000 0.2797
0.6324 0.6324 0.7203
```

Properties
E: -6.543 eV/atom
total magnetic moment: 2.33 μB/f.u.
formation energy (no corrections): -0.838 eV per atom


No. 9
Below is a geometry-optimized Bi3IrO structure, with properties calculated at the PBE level.

The structure in POSCAR format:
```
Bi3IrO
1.0
4.7993 0.0000 0.0000
0.0000 4.7993 0.0000
0.0000 0.0000 4.7993
Bi Ir O
3 1 1
Direct
0.0000 0.0000 0.5000
0.0000 0.5000 0.0000
0.5000 0.0000 0.0000
0.5000 0.5000 0.5000
0.0000 0.0000 0.0000
```

Properties
E: -4.899 eV/atom
energy above the lowest structure with this stoichiometry: 0 meV per atom
total magnetic moment: 0.00 μB/f.u.
formation energy (no corrections): 0.194 eV per atom


No. 10
Below is a geometry-optimized BiIr2O structure, with properties calculated at the PBE level.

The structure in POSCAR format:
```
BiIr2O
1.0
-2.4210 2.4210 6.4400
2.4210 -2.4210 6.4400
2.4210 2.4210 -6.4400
Bi Ir O
2 4 2
Direct
0.0000 0.0000 0.0000
0.7500 0.2500 0.5000
0.2895 0.6250 0.1645
0.3750 0.5395 0.6645
0.4605 0.1250 0.8355
0.8750 0.7105 0.3355
0.2500 0.7500 0.5000
0.5000 0.5000 0.0000
```

Properties
E: -6.460 eV/atom
energy above the lowest structure with this stoichiometry: 0 meV per atom
total magnetic moment: 0.00 μB/f.u.
formation energy (no corrections): 0.180 eV per atom


No. 11
Below is a geometry-optimized BiIrO6 structure, with properties calculated at the PBE level.

The structure in POSCAR format:
```
BiIrO6
1.0
4.7628 -3.9526 0.0000
4.7628 3.9526 0.0000
-0.2089 0.0000 6.9458
Bi Ir O
2 2 12
Direct
0.0783 0.9217 0.7500
0.9217 0.0783 0.2500
0.0000 0.5000 0.0000
0.5000 0.0000 0.5000
0.0067 0.5981 0.7327
0.0710 0.7979 0.0590
0.2021 0.9290 0.4410
0.2844 0.3937 0.9929
0.3937 0.2844 0.4929
0.4019 0.9933 0.7673
0.5981 0.0067 0.2327
0.6063 0.7156 0.5071
0.7156 0.6063 0.0071
0.7979 0.0710 0.5590
0.9290 0.2021 0.9410
0.9933 0.4019 0.2673
```

Properties
E: -5.788 eV/atom
total magnetic moment: 0.00 μB/f.u.
formation energy (no corrections): -0.477 eV per atom


No. 12
Below is a geometry-optimized Bi2IrO5 structure, with properties calculated at the PBE level.

The structure in POSCAR format:
```
Bi2IrO5
1.0
7.8851 0.0000 0.0000
0.0000 3.8547 0.0000
0.0000 0.0000 15.6540
Bi Ir O
8 4 20
Direct
0.1250 0.2500 0.0790
0.1798 0.2500 0.7536
0.3202 0.7500 0.2536
0.3750 0.7500 0.5790
0.6250 0.2500 0.4210
0.6798 0.2500 0.7464
0.8202 0.7500 0.2464
0.8750 0.7500 0.9210
0.0844 0.2500 0.4322
0.4156 0.7500 0.9322
0.5844 0.2500 0.0678
0.9156 0.7500 0.5678
0.0594 0.7500 0.4544
0.0699 0.7500 0.1679
0.1267 0.7500 0.6457
0.1968 0.7500 0.9961
0.2245 0.2500 0.3228
0.2755 0.7500 0.8228
0.3032 0.2500 0.4961
0.3733 0.2500 0.1457
0.4301 0.2500 0.6679
0.4406 0.2500 0.9544
0.5594 0.7500 0.0456
0.5699 0.7500 0.3321
0.6267 0.7500 0.8543
0.6968 0.7500 0.5039
0.7245 0.2500 0.1772
0.7755 0.7500 0.6772
0.8032 0.2500 0.0039
0.8733 0.2500 0.3543
0.9301 0.2500 0.8321
0.9406 0.2500 0.5456
```

Properties
E: -6.143 eV/atom
total magnetic moment: 0.00 μB/f.u.
formation energy (no corrections): -0.967 eV per atom


total magnetic moment of number 12 (Bi2IrO5)? 0.00 μB/f.u.